# CsSnAs (PBE, optimized geometry)
data_CsSnAs
_cell_length_a 6.6242
_cell_length_b 8.0048
_cell_length_c 8.2675
_cell_angle_alpha 75.42
_cell_angle_beta 90.00
_cell_angle_gamma 90.00
_symmetry_space_group_name_H-M 'P 1'
_symmetry_Int_Tables_number 1
loop_
_symmetry_equiv_pos_as_xyz
'x,y,z'
loop_
_atom_site_label
_atom_site_type_symbol
_atom_site_fract_x
_atom_site_fract_y
_atom_site_fract_z
_atom_site_occupancy
Cs1 Cs 0.1292 0.6214 0.2742 1
Cs2 Cs 0.3708 0.6214 0.7742 1
Cs3 Cs 0.8708 0.3786 0.7258 1
Cs4 Cs 0.6292 0.3786 0.2258 1
Sn1 Sn 0.7845 0.9946 0.5700 1
Sn2 Sn 0.7155 0.9946 0.0700 1
Sn3 Sn 0.2155 0.0054 0.4300 1
Sn4 Sn 0.2845 0.0054 0.9300 1
As1 As 0.3826 0.2042 0.6188 1
As2 As 0.8826 0.7958 0.8812 1
As3 As 0.6174 0.7958 0.3812 1
As4 As 0.1174 0.2042 0.1188 1
# DFT formation energy: -0.32 eV per atom
# DFT total energy: -41.896 eV per cell
# space group: No. 14
# crystal system: monoclinic

---

# MgSb2TePt (PBE, optimized geometry)
data_MgSb2TePt
_cell_length_a 5.2147
_cell_length_b 5.2147
_cell_length_c 5.5953
_cell_angle_alpha 90.00
_cell_angle_beta 90.00
_cell_angle_gamma 90.00
_symmetry_space_group_name_H-M 'P 1'
_symmetry_Int_Tables_number 1
loop_
_symmetry_equiv_pos_as_xyz
'x,y,z'
loop_
_atom_site_label
_atom_site_type_symbol
_atom_site_fract_x
_atom_site_fract_y
_atom_site_fract_z
_atom_site_occupancy
Sb1 Sb 0.0000 0.5000 0.0000 1
Sb2 Sb 0.5000 0.0000 0.0000 1
Mg1 Mg 0.5000 0.5000 0.5000 1
Te1 Te 0.0000 0.0000 0.5000 1
Pt1 Pt 0.0000 0.0000 0.0000 1
# DFT total energy: -17.668 eV per cell
# space group: No. 123
# raw formation energy: 0.2707 eV per atom
# crystal system: tetragonal